# 1
First-principles (SCAN) data for In2CuPdC at its PBEsol-relaxed geometry, as listed in Alexandria.

abc: 4.7390 4.7390 4.5978
angles: 90.00 90.00 90.00
Space group P4/mmm (No. 123)
Asymmetric unit:
In: 0.0000 0.5000 0.0000 x2
Cu: 0.0000 0.0000 0.0000 x1
Pd: 0.0000 0.0000 0.5000 x1
C: 0.5000 0.5000 0.5000 x1

Output
Its energy relative to the elements is 1.534 eV per atom.

# 2
First-principles (SCAN) data for LiBeSe2 at its PBEsol-relaxed geometry, as listed in Alexandria.

abc: 5.8349 3.3190 6.8416
angles: 90.00 106.16 90.00
Space group C2/m (No. 12)
Asymmetric unit:
Li: 0.0000 0.0000 0.0000 x2
Be: 0.0000 0.5000 0.5000 x2
Se: 0.2392 0.0000 0.7161 x4

Output
As for the formation energy (no corrections): -0.636 eV/atom.

# 3
First-principles (SCAN) data for RbNi3As at its PBEsol-relaxed geometry, as listed in Alexandria.

abc: 4.5220 4.5220 4.5220
angles: 90.00 90.00 90.00
Space group Pm-3m (No. 221)
Asymmetric unit:
Rb: 0.0000 0.0000 0.0000 x1
Ni: 0.0000 0.0000 0.5000 x3
As: 0.5000 0.5000 0.5000 x1

Output
Its energy relative to the elements is 2.319 eV per atom.

# 4
First-principles (SCAN) data for Ca3Ge2Au9 at its PBEsol-relaxed geometry, as listed in Alexandria.

abc: 9.3146 13.3740 4.4620
angles: 90.00 90.00 90.00
Space group Pnnm (No. 58)
Asymmetric unit:
Ca: 0.0000 0.0000 0.0000 x2
Ca: 0.0074 0.3137 0.0000 x4
Ge: 0.1575 0.1822 0.5000 x4
Au: 0.0000 0.5000 0.5000 x2
Au: 0.1061 0.8362 0.5000 x4
Au: 0.2083 0.5022 0.0000 x4
Au: 0.2237 0.3671 0.5000 x4
Au: 0.2340 0.6341 0.5000 x4

Output
Its energy relative to the elements is -0.665 eV per atom.

# 5
First-principles (SCAN) data for NiAgOs2 at its PBEsol-relaxed geometry, as listed in Alexandria.

abc: 2.6391 4.4561 4.7896
angles: 90.00 97.21 90.00
Space group P2/m (No. 10)
Asymmetric unit:
Ni: 0.0000 0.0000 0.0000 x1
Ag: 0.5000 0.0000 0.5000 x1
Os: 0.1900 0.5000 0.7653 x2

Output
The polymorph energy (0 for the lowest one) is 302 meV per atom. Its energy relative to the elements is 0.663 eV per atom.

# 6
First-principles (SCAN) data for CaZrZn2 at its PBEsol-relaxed geometry, as listed in Alexandria.

abc: 11.3337 3.1616 4.8675
angles: 90.00 114.90 90.00
Space group Cm (No. 8)
Asymmetric unit:
Ca: 0.0000 0.0000 0.0000 x2
Zr: 0.2107 0.0000 0.7057 x2
Zn: 0.2677 0.5000 0.2611 x2
Zn: 0.4615 0.0000 0.4634 x2

Output
Its energy relative to the elements is -0.089 eV per atom.

no.,final energy (eV for the cell shown)
1,-117.17
2,-98.89
3,-77.85
4,-1397.79
5,-188.65
6,-135.50